[1]
Entry from Alexandria: a relaxed Ac5LaPmNd2 crystal (GGA-PBE).

Output
As for the energy of formation from the pure elements: 0.280 eV per atom.

Cell lengths 10.739, 10.739, 10.739 Å; angles 127.92, 127.92, 76.75 degrees
Fractional coordinates of all 18 atoms:
1 Ac 0.000 0.000 0.000
2 Ac 0.070 0.570 0.915
3 Ac 0.155 0.070 0.500
4 Ac 0.345 0.845 0.915
5 Ac 0.430 0.345 0.500
6 Ac 0.500 0.500 0.000
7 Ac 0.570 0.655 0.500
8 Ac 0.655 0.155 0.085
9 Ac 0.845 0.930 0.500
10 Ac 0.930 0.430 0.085
11 La 0.250 0.250 0.000
12 La 0.750 0.750 0.000
13 Pm 0.250 0.750 0.500
14 Pm 0.750 0.250 0.500
15 Nd 0.111 0.389 0.500
16 Nd 0.389 0.889 0.278
17 Nd 0.611 0.111 0.722
18 Nd 0.889 0.611 0.500

***

[2]
Entry from Alexandria: a relaxed CaP2 crystal (GGA-PBE).

Output
As for the energy of formation from the pure elements: -0.116 eV per atom.

Cell lengths 4.911, 4.911, 5.714 Å; angles 90.00, 90.00, 120.00 degrees
Fractional coordinates of all 6 atoms:
1 Ca 0.333 0.667 0.250
2 Ca 0.667 0.333 0.750
3 P 0.000 0.000 0.000
4 P 0.000 0.000 0.500
5 P 0.333 0.667 0.750
6 P 0.667 0.333 0.250

***

[3]
Entry from Alexandria: a relaxed AcMgSn4 crystal (GGA-PBE).

Output
The value obtained for the energy above the most stable polymorph in this dataset is 0.00 eV/f.u. As for the energy of formation from the pure elements: -0.260 eV per atom.

Cell lengths 6.294, 6.294, 6.294 Å; angles 60.00, 60.00, 60.00 degrees
Fractional coordinates of all 6 atoms:
1 Ac 0.000 0.000 0.000
2 Mg 0.250 0.250 0.250
3 Sn 0.126 0.625 0.625
4 Sn 0.625 0.126 0.625
5 Sn 0.625 0.625 0.126
6 Sn 0.625 0.625 0.625

***

[4]
Entry from Alexandria: a relaxed ZrBe2CrS crystal (GGA-PBE).

Output
The value obtained for the energy above the most stable polymorph in this dataset is 0.00 eV/f.u. For the raw formation energy, the calculation gives 409 kJ/mol of formula units.

Cell lengths 4.209, 4.209, 4.709 Å; angles 90.00, 90.00, 90.00 degrees
Fractional coordinates of all 5 atoms:
1 Zr 0.000 0.000 0.000
2 Be 0.000 0.500 0.500
3 Be 0.500 0.000 0.500
4 Cr 0.000 0.000 0.500
5 S 0.500 0.500 0.000

***

[5]
Entry from Alexandria: a relaxed Na2NbCl6 crystal (GGA-PBE).

Output
The value obtained for the energy above the most stable polymorph in this dataset is 0.00 eV/f.u. For the raw formation energy, the calculation gives -1285 kJ/mol of formula units.

Cell lengths 6.763, 7.100, 11.611 Å; angles 90.00, 120.98, 90.00 degrees
Fractional coordinates of all 18 atoms:
1 Na 0.178 0.103 0.220
2 Na 0.178 0.397 0.720
3 Na 0.822 0.603 0.280
4 Na 0.822 0.897 0.780
5 Nb 0.500 0.000 0.000
6 Nb 0.500 0.500 0.500
7 Cl 0.150 0.183 0.940
8 Cl 0.150 0.317 0.440
9 Cl 0.271 0.715 0.926
10 Cl 0.271 0.785 0.426
11 Cl 0.426 0.050 0.773
12 Cl 0.426 0.450 0.273
13 Cl 0.574 0.550 0.727
14 Cl 0.574 0.950 0.227
15 Cl 0.729 0.215 0.574
16 Cl 0.729 0.285 0.074
17 Cl 0.850 0.683 0.560
18 Cl 0.850 0.817 0.060

***

[6]
Entry from Alexandria: a relaxed NiAgBr4 crystal (GGA-PBE).

Output
The value obtained for the energy above the most stable polymorph in this dataset is 0.00 eV/f.u. For the raw formation energy, the calculation gives -146 kJ/mol of formula units.

Cell lengths 7.497, 7.497, 7.191 Å; angles 114.95, 114.95, 28.54 degrees
Fractional coordinates of all 6 atoms:
1 Ni 0.000 0.000 0.000
2 Ag 0.500 0.500 0.500
3 Br 0.105 0.105 0.399
4 Br 0.387 0.387 0.018
5 Br 0.613 0.613 0.982
6 Br 0.895 0.895 0.601

***

[7]
Entry from Alexandria: a relaxed CaOsRu crystal (GGA-PBE).

Output
The value obtained for the energy above the most stable polymorph in this dataset is 0.31 eV/f.u. As for the energy of formation from the pure elements: 0.194 eV per atom.

Cell lengths 4.420, 4.242, 6.970 Å; angles 90.00, 93.74, 90.00 degrees
Fractional coordinates of all 6 atoms:
1 Ca 0.248 0.250 0.350
2 Ca 0.752 0.750 0.650
3 Os 0.189 0.750 0.005
4 Os 0.811 0.250 0.995
5 Ru 0.323 0.250 0.831
6 Ru 0.677 0.750 0.169

***

[8]
Entry from Alexandria: a relaxed ZrCo2H crystal (GGA-PBE).

Output
The value obtained for the energy above the most stable polymorph in this dataset is 0.00 eV/f.u.

Cell lengths 5.054, 5.054, 5.054 Å; angles 120.04, 120.04, 89.93 degrees
Fractional coordinates of all 8 atoms:
1 Zr 0.000 0.000 0.000
2 Zr 0.750 0.250 0.500
3 Co 0.348 0.625 0.223
4 Co 0.375 0.598 0.723
5 Co 0.402 0.125 0.777
6 Co 0.875 0.652 0.277
7 H 0.250 0.750 0.500
8 H 0.500 0.500 0.000

***

[9]
Entry from Alexandria: a relaxed GdTmPuSc crystal (GGA-PBE).

Output
As for the energy of formation from the pure elements: 0.174 eV per atom.

Cell lengths 5.441, 5.441, 5.441 Å; angles 60.00, 60.00, 60.00 degrees
Fractional coordinates of all 4 atoms:
1 Gd 0.000 0.000 0.000
2 Tm 0.250 0.250 0.250
3 Pu 0.500 0.500 0.500
4 Sc 0.750 0.750 0.750

***

[10]
Entry from Alexandria: a relaxed La2AlGaN crystal (GGA-PBE).

Output
For the raw formation energy, the calculation gives -363 kJ/mol of formula units.

Cell lengths 5.291, 5.291, 3.886 Å; angles 90.00, 90.00, 90.00 degrees
Fractional coordinates of all 5 atoms:
1 La 0.000 0.500 0.000
2 La 0.500 0.000 0.000
3 Al 0.000 0.000 0.500
4 Ga 0.500 0.500 0.500
5 N 0.000 0.000 0.000

***

[11]
Entry from Alexandria: a relaxed Tb6Pm2In crystal (GGA-PBE).

Output
As for the energy of formation from the pure elements: -0.018 eV per atom.

Cell lengths 9.208, 9.208, 5.807 Å; angles 98.59, 98.59, 140.31 degrees
Fractional coordinates of all 9 atoms:
1 Tb 0.026 0.334 0.348
2 Tb 0.196 0.196 0.845
3 Tb 0.334 0.026 0.348
4 Tb 0.666 0.974 0.652
5 Tb 0.804 0.804 0.155
6 Tb 0.974 0.666 0.652
7 Pm 0.322 0.678 0.000
8 Pm 0.678 0.322 0.000
9 In 0.500 0.500 0.500

***

[12]
Entry from Alexandria: a relaxed Na2ZnBN crystal (GGA-PBE).

Output
For the raw formation energy, the calculation gives 405 kJ/mol of formula units.

Cell lengths 4.909, 4.909, 3.655 Å; angles 90.00, 90.00, 90.00 degrees
Fractional coordinates of all 5 atoms:
1 Na 0.000 0.500 0.000
2 Na 0.500 0.000 0.000
3 Zn 0.000 0.000 0.500
4 B 0.500 0.500 0.500
5 N 0.000 0.000 0.000

***

[13]
Entry from Alexandria: a relaxed Pm7Ho4In crystal (GGA-PBE).

Output
As for the energy of formation from the pure elements: 0.035 eV per atom.

Cell lengths 5.636, 6.447, 11.584 Å; angles 100.49, 104.03, 90.01 degrees
Fractional coordinates of all 12 atoms:
1 Pm 0.000 0.000 0.000
2 Pm 0.139 0.516 0.276
3 Pm 0.209 0.069 0.417
4 Pm 0.453 0.691 0.906
5 Pm 0.547 0.309 0.094
6 Pm 0.791 0.931 0.583
7 Pm 0.861 0.484 0.724
8 Ho 0.292 0.605 0.586
9 Ho 0.383 0.155 0.768
10 Ho 0.617 0.845 0.232
11 Ho 0.708 0.395 0.414
12 In 0.000 0.500 0.000

***

[14]
Entry from Alexandria: a relaxed Sc7Zn crystal (GGA-PBE).

Output
As for the energy of formation from the pure elements: 0.006 eV per atom.

Cell lengths 6.399, 6.399, 6.399 Å; angles 60.00, 60.00, 60.00 degrees
Fractional coordinates of all 8 atoms:
1 Sc 0.000 0.000 0.000
2 Sc 0.000 0.000 0.500
3 Sc 0.000 0.500 0.000
4 Sc 0.000 0.500 0.500
5 Sc 0.500 0.000 0.000
6 Sc 0.500 0.000 0.500
7 Sc 0.500 0.500 0.000
8 Zn 0.500 0.500 0.500

***

[15]
Entry from Alexandria: a relaxed MnAuCl2 crystal (GGA-PBE).

Output
The value obtained for the energy above the most stable polymorph in this dataset is 0.16 eV/f.u. For the raw formation energy, the calculation gives -152 kJ/mol of formula units.

Cell lengths 3.925, 3.378, 7.419 Å; angles 90.00, 104.63, 90.00 degrees
Fractional coordinates of all 4 atoms:
1 Mn 0.000 0.000 0.000
2 Au 0.426 0.500 0.858
3 Cl 0.109 0.500 0.239
4 Cl 0.825 0.000 0.672

***

[16]
Entry from Alexandria: a relaxed La6Hg3N2 crystal (GGA-PBE).

Output
For the raw formation energy, the calculation gives -766 kJ/mol of formula units.

Cell lengths 13.234, 13.234, 13.234 Å; angles 158.19, 158.19, 31.03 degrees
Fractional coordinates of all 11 atoms:
1 La 0.087 0.587 0.500
2 La 0.198 0.198 0.000
3 La 0.413 0.913 0.500
4 La 0.587 0.087 0.500
5 La 0.802 0.802 0.000
6 La 0.913 0.413 0.500
7 Hg 0.326 0.326 0.000
8 Hg 0.500 0.500 0.000
9 Hg 0.674 0.674 0.000
10 N 0.109 0.109 0.000
11 N 0.891 0.891 0.000

***

[17]
Entry from Alexandria: a relaxed MgBe crystal (GGA-PBE).

Output
The value obtained for the energy above the most stable polymorph in this dataset is 0.92 eV/f.u. As for the energy of formation from the pure elements: 0.673 eV per atom.

Cell lengths 5.066, 5.066, 5.360 Å; angles 90.00, 90.00, 90.00 degrees
Fractional coordinates of all 8 atoms:
1 Mg 0.189 0.189 0.000
2 Mg 0.311 0.689 0.500
3 Mg 0.689 0.311 0.500
4 Mg 0.811 0.811 0.000
5 Be 0.155 0.155 0.500
6 Be 0.345 0.655 0.000
7 Be 0.655 0.345 0.000
8 Be 0.845 0.845 0.500

***

[18]
Entry from Alexandria: a relaxed ZrBe crystal (GGA-PBE).

Output
As for the energy of formation from the pure elements: 0.063 eV per atom.

Cell lengths 6.449, 5.901, 5.258 Å; angles 70.34, 59.51, 50.15 degrees
Fractional coordinates of all 8 atoms:
1 Zr 0.075 0.675 0.075
2 Zr 0.325 0.925 0.325
3 Zr 0.675 0.075 0.675
4 Zr 0.925 0.325 0.925
5 Be 0.216 0.534 0.534
6 Be 0.466 0.784 0.784
7 Be 0.534 0.216 0.216
8 Be 0.784 0.466 0.466

***

[19]
Entry from Alexandria: a relaxed Tm2Ga3Pt2 crystal (GGA-PBE).

Output
As for the energy of formation from the pure elements: -0.940 eV per atom.

Cell lengths 5.422, 5.422, 6.657 Å; angles 110.87, 110.87, 46.93 degrees
Fractional coordinates of all 7 atoms:
1 Tm 0.152 0.152 0.275
2 Tm 0.848 0.848 0.725
3 Ga 0.386 0.386 0.057
4 Ga 0.500 0.500 0.500
5 Ga 0.614 0.614 0.943
6 Pt 0.141 0.141 0.714
7 Pt 0.859 0.859 0.286

***

[20]
Entry from Alexandria: a relaxed RbIr3Pb crystal (GGA-PBE).

Output
The value obtained for the energy above the most stable polymorph in this dataset is 5.13 eV/f.u. As for the energy of formation from the pure elements: 2.850 eV per atom.

Cell lengths 4.964, 4.964, 4.964 Å; angles 90.00, 90.00, 90.00 degrees
Fractional coordinates of all 5 atoms:
1 Rb 0.000 0.000 0.000
2 Ir 0.000 0.000 0.500
3 Ir 0.000 0.500 0.000
4 Ir 0.500 0.000 0.000
5 Pb 0.500 0.500 0.500